Entry 1:
Computed, not measured: an optimized crystal structure of TbAl2GaCu4 at the PBE-GGA level of DFT.

a = 4.1699 Å, b = 4.1699 Å, c = 25.3072 Å
α = 90.00°, β = 90.00°, γ = 120.00°
Last column: nearest neighbours and their distance in Å.
Space group R-3m (No. 166, hexagonal axes)
Symmetry-distinct sites (fractional):
Tb (0.0000, 0.0000, 0.0000)  8 Cu 2.98-3.24, 6 Al 3.27
Al (0.0000, 0.0000, 0.2461)  6 Cu 2.45-2.62
Ga (0.0000, 0.0000, 0.5000)  8 Cu 2.46-2.60
Cu (0.0000, 0.0000, 0.1280)  3 Ga 2.60, 3 Al 2.62, 3 Cu 2.83
Cu (0.0000, 0.0000, 0.4028)  3 Al 2.45, 1 Ga 2.46

## Properties
**ΔE_f**: -24.51 kJ/mol of atoms
**Fermi-level density of states**: 2.43 states/eV/f.u.
**Crystal system**: trigonal
**Magnetic moment**: 0.00 μB per formula unit

Entry 2:
Computed, not measured: an optimized crystal structure of TbAlGaCu at the PBE-GGA level of DFT.

a = 6.6438 Å, b = 6.6438 Å, c = 6.6438 Å
α = 90.00°, β = 90.00°, γ = 90.00°
Last column: nearest neighbours and their distance in Å.
Space group F-43m (No. 216)
Symmetry-distinct sites (fractional):
Tb (0.0000, 0.0000, 0.0000)  4 Ga 2.88, 4 Cu 2.88
Al (0.0000, 0.0000, 0.5000)  4 Cu 2.88, 4 Ga 2.88
Ga (0.2500, 0.2500, 0.7500)  4 Tb 2.88, 4 Al 2.88
Cu (0.2500, 0.2500, 0.2500)  4 Tb 2.88, 4 Al 2.88

## Properties
**ΔE_f**: -32.03 kJ/mol of atoms
**Fermi-level density of states**: 1.46 states/eV/f.u.
**Crystal system**: cubic
**Magnetic moment**: 0.00 μB per formula unit

Entry 3:
Computed, not measured: an optimized crystal structure of TbAlGa2Cu at the PBE-GGA level of DFT.

a = 4.0663 Å, b = 4.0663 Å, c = 10.8974 Å
α = 90.00°, β = 90.00°, γ = 90.00°
Last column: nearest neighbours and their distance in Å.
Space group I-4m2 (No. 119)
Symmetry-distinct sites (fractional):
Tb (0.0000, 0.0000, 0.0000)  8 Ga 3.12, 4 Cu 3.40, 4 Al 3.40
Al (0.0000, 0.5000, 0.2500)  4 Ga 2.53
Ga (0.0000, 0.0000, 0.3877)  1 Ga 2.45, 2 Al 2.53, 2 Cu 2.53
Cu (0.0000, 0.5000, 0.7500)  4 Ga 2.53

## Properties
**ΔE_f**: -47.21 kJ/mol of atoms
**Fermi-level density of states**: 1.13 states/eV/f.u.
**Crystal system**: tetragonal
**Magnetic moment**: 0.00 μB per formula unit

Entry 4:
Computed, not measured: an optimized crystal structure of TbAlGa2Cu2 at the PBE-GGA level of DFT.

a = 4.1734 Å, b = 4.1734 Å, c = 6.7670 Å
α = 90.00°, β = 90.00°, γ = 120.00°
Last column: nearest neighbours and their distance in Å.
Space group P-3m1 (No. 164)
Symmetry-distinct sites (fractional):
Tb (0.0000, 0.0000, 0.0000)  6 Ga 3.00, 6 Cu 3.31
Al (0.0000, 0.0000, 0.5000)  6 Cu 2.66, 6 Ga 2.89
Ga (0.3333, 0.6667, 0.2641)  4 Cu 2.46-2.72
Cu (0.3333, 0.6667, 0.6653)  4 Ga 2.46-2.72, 3 Al 2.66

## Properties
**ΔE_f**: -38.39 kJ/mol of atoms
**Fermi-level density of states**: 2.08 states/eV/f.u.
**Crystal system**: trigonal
**Magnetic moment**: 0.00 μB per formula unit

Entry 5:
Computed, not measured: an optimized crystal structure of Tb2AlGa3Cu4 at the PBE-GGA level of DFT.

a = 4.1247 Å, b = 4.1247 Å, c = 10.1692 Å
α = 90.00°, β = 90.00°, γ = 90.00°
Last column: nearest neighbours and their distance in Å.
Space group P-4m2 (No. 115)
Symmetry-distinct sites (fractional):
Tb (0.0000, 0.5000, 0.2441)  6 Ga 3.14-3.32, 8 Cu 3.17-3.23, 2 Al 3.32
Al (0.0000, 0.0000, 0.5000)  4 Cu 2.48
Ga (0.0000, 0.5000, 0.8691)  5 Cu 2.38-2.45
Ga (0.5000, 0.5000, 0.5000)  4 Cu 2.48
Cu (0.0000, 0.0000, 0.0000)  4 Ga 2.45
Cu (0.0000, 0.5000, 0.6348)  3 Ga 2.38-2.48, 2 Al 2.48
Cu (0.5000, 0.5000, 0.0000)  4 Ga 2.45

## Properties
**ΔE_f**: -42.68 kJ/mol of atoms
**Fermi-level density of states**: 4.85 states/eV/f.u.
**Crystal system**: tetragonal
**Magnetic moment**: 0.00 μB per formula unit

Entry 6:
Computed, not measured: an optimized crystal structure of TbAl2GaCu2 at the PBE-GGA level of DFT.

a = 4.4724 Å, b = 4.4724 Å, c = 5.5711 Å
α = 90.00°, β = 90.00°, γ = 90.00°
Last column: nearest neighbours and their distance in Å.
Space group P4/mmm (No. 123)
Symmetry-distinct sites (fractional):
Tb (0.0000, 0.0000, 0.0000)  2 Ga 2.79
Al (0.5000, 0.5000, 0.2361)  2 Al 2.63-2.94, 4 Cu 2.68
Ga (0.0000, 0.0000, 0.5000)  4 Cu 2.24
Cu (0.0000, 0.5000, 0.5000)  2 Ga 2.24

## Properties
**ΔE_f**: -7.13 kJ/mol of atoms
**Fermi-level density of states**: 2.36 states/eV/f.u.
**Crystal system**: tetragonal
**Magnetic moment**: 0.00 μB per formula unit

Question: Look up the ΔE_f of the sixth one.
Answer: -7.13 kJ/mol of atoms

What did the fifth record say?
Computed, not measured: an optimized crystal structure of Tb2AlGa3Cu4 at the PBE-GGA level of DFT.

a = 4.1247 Å, b = 4.1247 Å, c = 10.1692 Å
α = 90.00°, β = 90.00°, γ = 90.00°
Last column: nearest neighbours and their distance in Å.
Space group P-4m2 (No. 115)
Symmetry-distinct sites (fractional):
Tb (0.0000, 0.5000, 0.2441)  6 Ga 3.14-3.32, 8 Cu 3.17-3.23, 2 Al 3.32
Al (0.0000, 0.0000, 0.5000)  4 Cu 2.48
Ga (0.0000, 0.5000, 0.8691)  5 Cu 2.38-2.45
Ga (0.5000, 0.5000, 0.5000)  4 Cu 2.48
Cu (0.0000, 0.0000, 0.0000)  4 Ga 2.45
Cu (0.0000, 0.5000, 0.6348)  3 Ga 2.38-2.48, 2 Al 2.48
Cu (0.5000, 0.5000, 0.0000)  4 Ga 2.45

## Properties
**ΔE_f**: -42.68 kJ/mol of atoms
**Fermi-level density of states**: 4.85 states/eV/f.u.
**Crystal system**: tetragonal
**Magnetic moment**: 0.00 μB per formula unit